5
Lattice="-5.071 0.912 0.374 -1.040 -4.520 -3.092 -0.203 -2.882 4.282" Properties=species:S:1:pos:R:3 comment="MnSbAsCl2 PBE optimized geometry" m_tot_mub_per_cell=5.13 crystal_system=tetragonal raw_formation_energy_mev_per_atom=323.5 final_energy_ev_per_cell=-20.0 pbc="T T T"
Sb 0.000 0.000 0.000
Cl -2.536 0.456 0.187
Cl -0.101 -1.441 2.141
As -0.520 -2.260 -1.546
Mn -3.157 -3.245 0.782

5
Lattice="4.700 0.000 0.000 0.000 4.700 0.000 0.000 0.000 4.564" Properties=species:S:1:pos:R:3 comment="MnAs2SeCl PBE optimized geometry" m_tot_mub_per_cell=0.00 crystal_system=tetragonal raw_formation_energy_mev_per_atom=286.1 final_energy_ev_per_cell=-22.4 pbc="T T T"
As 2.350 0.000 0.000
As 0.000 2.350 0.000
Cl 2.350 2.350 2.282
Mn 0.000 0.000 0.000
Se 0.000 0.000 2.282

5
Lattice="4.771 0.000 0.000 0.000 4.771 0.000 0.000 0.000 5.015" Properties=species:S:1:pos:R:3 comment="MnAs2SeCl PBE optimized geometry" m_tot_mub_per_cell=0.26 crystal_system=tetragonal raw_formation_energy_mev_per_atom=1568.4 final_energy_ev_per_cell=-16.0 pbc="T T T"
As 2.385 0.000 0.000
As 0.000 2.385 0.000
Se 0.000 0.000 2.508
Cl 0.000 0.000 0.000
Mn 2.385 2.385 2.508

5
Lattice="-3.288 -2.685 1.899 -1.339 -1.360 -4.241 3.187 -3.760 0.200" Properties=species:S:1:pos:R:3 comment="MnAsSe2Cl PBE optimized geometry" m_tot_mub_per_cell=1.99 crystal_system=tetragonal raw_formation_energy_mev_per_atom=257.6 final_energy_ev_per_cell=-21.3 pbc="T T T"
Se -0.669 -0.680 -2.121
Se -1.644 -1.343 0.950
Cl -0.720 -3.903 -1.071
As 1.593 -1.880 0.100
Mn 0.000 0.000 0.000

5
Lattice="4.935 0.000 0.000 0.000 4.935 0.000 0.000 0.000 4.748" Properties=species:S:1:pos:R:3 comment="MnAsSe2Cl PBE optimized geometry" m_tot_mub_per_cell=0.18 crystal_system=tetragonal raw_formation_energy_mev_per_atom=1589.9 final_energy_ev_per_cell=-14.7 pbc="T T T"
Mn 2.467 2.467 2.374
Se 2.467 0.000 0.000
Se 0.000 2.467 0.000
As 0.000 0.000 2.374
Cl 0.000 0.000 0.000

5
Lattice="5.152 0.000 0.000 0.000 4.734 0.000 0.000 0.000 5.152" Properties=species:S:1:pos:R:3 comment="MnAsSe2Cl PBE optimized geometry" m_tot_mub_per_cell=5.00 crystal_system=tetragonal raw_formation_energy_mev_per_atom=314.9 final_energy_ev_per_cell=-21.1 pbc="T T T"
Se 0.000 0.000 2.576
Se 2.576 0.000 0.000
As 0.000 0.000 0.000
Cl 0.000 2.367 0.000
Mn 2.576 2.367 2.576

5
Lattice="4.382 0.000 0.000 0.000 5.138 0.000 0.000 0.000 4.382" Properties=species:S:1:pos:R:3 comment="Ti2MnAsCl PBE optimized geometry" m_tot_mub_per_cell=3.96 crystal_system=tetragonal raw_formation_energy_mev_per_atom=518.5 final_energy_ev_per_cell=-28.9 pbc="T T T"
Ti 0.000 0.000 2.191
Ti 2.191 0.000 0.000
Mn 2.191 2.569 2.191
Cl 0.000 0.000 0.000
As 0.000 2.569 0.000

9
Lattice="-1.383 5.527 -3.361 -5.899 0.715 -2.907 -2.565 2.968 5.937" Properties=species:S:1:pos:R:3 comment="MnTlAsCl6 PBE optimized geometry" m_tot_mub_per_cell=5.00 crystal_system=trigonal raw_formation_energy_mev_per_atom=-890.6 final_energy_ev_per_cell=-35.3 pbc="T T T"
As -3.710 3.564 0.879
Cl -2.962 1.160 0.680
Cl -1.640 4.345 -0.341
Cl -4.862 5.810 0.983
Cl -4.972 3.389 -1.303
Cl -5.497 2.542 2.343
Cl -2.326 4.142 2.913
Tl -3.948 8.495 2.576
Mn -6.137 5.645 -1.211

4
Lattice="5.435 -0.010 -0.005 -1.122 5.318 -0.005 0.955 1.175 2.323" Properties=species:S:1:pos:R:3 comment="Mo2AsCl PBE optimized geometry" m_tot_mub_per_cell=0.00 crystal_system=monoclinic raw_formation_energy_mev_per_atom=555.0 final_energy_ev_per_cell=-25.9 pbc="T T T"
As 3.195 0.582 1.159
Mo 0.000 0.000 0.000
Mo 2.156 2.654 -0.005
Cl -0.084 3.247 1.159

4
Lattice="-0.259 3.152 -0.057 -2.259 -2.002 0.944 4.285 0.560 11.438" Properties=species:S:1:pos:R:3 comment="MoAsCl2 PBE optimized geometry" m_tot_mub_per_cell=1.13 crystal_system=orthorhombic raw_formation_energy_mev_per_atom=116.5 final_energy_ev_per_cell=-18.7 pbc="T T T"
As 1.954 0.995 9.022
Mo -0.188 0.715 3.303
Cl 1.752 0.229 4.678
Cl 0.390 0.051 1.041

4
Lattice="4.356 0.000 0.000 0.000 4.250 0.000 0.000 0.000 4.250" Properties=species:S:1:pos:R:3 comment="MoAsCl2 PBE optimized geometry" m_tot_mub_per_cell=2.89 crystal_system=tetragonal raw_formation_energy_mev_per_atom=713.8 final_energy_ev_per_cell=-16.3 pbc="T T T"
As 2.178 0.000 2.125
Cl 0.000 2.125 2.125
Cl 0.000 0.000 0.000
Mo 2.178 2.125 0.000

4
Lattice="3.222 0.001 0.000 -1.570 2.814 0.000 0.000 0.000 9.330" Properties=species:S:1:pos:R:3 comment="MoAsCl2 PBE optimized geometry" m_tot_mub_per_cell=0.81 crystal_system=orthorhombic raw_formation_energy_mev_per_atom=139.9 final_energy_ev_per_cell=-18.6 pbc="T T T"
Cl 0.826 1.407 2.953
Cl 0.000 0.000 8.830
Mo 0.000 0.000 4.805
As 0.826 1.407 6.737

4
Lattice="2.958 0.000 0.000 0.000 2.958 0.000 0.000 0.000 9.813" Properties=species:S:1:pos:R:3 comment="MoAsCl2 PBE optimized geometry" m_tot_mub_per_cell=0.35 crystal_system=tetragonal raw_formation_energy_mev_per_atom=257.3 final_energy_ev_per_cell=-18.1 pbc="T T T"
Cl 0.000 0.000 3.958
Cl 0.000 0.000 0.948
Mo 1.479 1.479 2.453
As 1.479 1.479 7.360

8
Lattice="8.935 0.000 0.000 0.000 8.935 0.000 4.467 4.467 2.425" Properties=species:S:1:pos:R:3 comment="MoAsCl2 PBE optimized geometry" m_tot_mub_per_cell=2.00 crystal_system=tetragonal raw_formation_energy_mev_per_atom=-77.4 final_energy_ev_per_cell=-39.0 pbc="T T T"
Cl 7.943 2.234 0.606
Cl 6.701 5.459 1.819
Cl 11.168 3.475 1.819
Cl 9.927 6.701 0.606
Mo 0.000 0.000 0.000
Mo 8.935 4.467 1.213
As 4.467 8.935 1.213
As 4.467 4.467 0.000

4
Lattice="4.746 0.009 -0.003 3.656 3.027 -0.003 3.768 1.362 6.123" Properties=species:S:1:pos:R:3 comment="Mo2AsCl PBE optimized geometry" m_tot_mub_per_cell=0.00 crystal_system=monoclinic raw_formation_energy_mev_per_atom=125.9 final_energy_ev_per_cell=-27.7 pbc="T T T"
Mo 6.764 2.444 3.723
Mo 11.492 4.152 5.453
Cl 3.043 1.099 1.529
As 9.128 3.298 4.588

4
Lattice="-1.814 -4.580 -1.740 -0.759 -3.235 4.032 -1.535 4.919 -0.866" Properties=species:S:1:pos:R:3 comment="MoAsCl2 PBE optimized geometry" m_tot_mub_per_cell=2.86 crystal_system=tetragonal raw_formation_energy_mev_per_atom=713.8 final_energy_ev_per_cell=-16.3 pbc="T T T"
Mo -1.790 -1.112 2.156
Cl 0.000 0.000 0.000
Cl -1.287 -3.907 1.146
As -2.318 -1.784 -0.730

4
Lattice="7.852 0.031 0.009 7.270 2.967 0.009 1.235 0.245 4.235" Properties=species:S:1:pos:R:3 comment="MoAsCl2 PBE optimized geometry" m_tot_mub_per_cell=0.00 crystal_system=orthorhombic raw_formation_energy_mev_per_atom=-179.7 final_energy_ev_per_cell=-19.9 pbc="T T T"
As 4.089 0.811 1.063
Cl 2.779 0.551 3.764
Cl 6.635 1.316 2.597
Mo 12.268 2.433 3.189

4
Lattice="-0.708 -2.842 3.306 -4.113 -0.750 1.424 -1.942 -3.885 -0.805" Properties=species:S:1:pos:R:3 comment="Mo2AsCl PBE optimized geometry" m_tot_mub_per_cell=0.00 crystal_system=cubic raw_formation_energy_mev_per_atom=398.5 final_energy_ev_per_cell=-26.6 pbc="T T T"
Cl 0.000 0.000 0.000
Mo -5.072 -5.608 2.944
Mo -1.691 -1.869 0.981
As -3.382 -3.739 1.963

4
Lattice="3.155 0.000 0.000 0.000 7.366 0.493 0.000 5.398 5.040" Properties=species:S:1:pos:R:3 comment="MoAsCl2 PBE optimized geometry" m_tot_mub_per_cell=0.67 crystal_system=orthorhombic raw_formation_energy_mev_per_atom=-294.2 final_energy_ev_per_cell=-20.4 pbc="T T T"
Cl 0.000 4.924 2.135
Cl 0.000 1.458 0.632
Mo 1.578 3.191 1.383
As 1.578 9.573 4.150

4
Lattice="3.310 0.000 0.000 0.000 3.306 -0.022 0.000 0.046 6.747" Properties=species:S:1:pos:R:3 comment="Mo2AsCl PBE optimized geometry" m_tot_mub_per_cell=0.00 crystal_system=orthorhombic raw_formation_energy_mev_per_atom=123.3 final_energy_ev_per_cell=-27.7 pbc="T T T"
Mo 0.000 2.500 2.879
Mo 0.000 2.483 0.461
As 1.655 0.838 1.681
Cl 1.655 2.514 5.043

4
Lattice="1.738 11.452 1.848 1.991 10.538 4.750 4.425 10.466 2.909" Properties=species:S:1:pos:R:3 comment="MoAsCl2 PBE optimized geometry" m_tot_mub_per_cell=0.00 crystal_system=trigonal raw_formation_energy_mev_per_atom=-58.2 final_energy_ev_per_cell=-19.4 pbc="T T T"
Cl 7.204 28.676 8.400
Cl 0.950 3.780 1.107
Mo 4.077 16.228 4.754
As 0.000 0.000 0.000

4
Lattice="3.495 0.000 0.000 0.000 6.336 0.168 0.000 4.402 4.561" Properties=species:S:1:pos:R:3 comment="MoAsCl2 PBE optimized geometry" m_tot_mub_per_cell=0.00 crystal_system=orthorhombic raw_formation_energy_mev_per_atom=-242.6 final_energy_ev_per_cell=-20.1 pbc="T T T"
Cl 1.748 3.736 1.646
Cl 0.000 10.585 4.661
As 1.748 7.010 3.087
Mo 0.000 5.514 2.428

5
Lattice="-1.984 -0.761 4.569 3.239 -3.781 0.777 3.311 3.243 1.978" Properties=species:S:1:pos:R:3 comment="MoAsCl3 PBE optimized geometry" m_tot_mub_per_cell=6.00 crystal_system=cubic raw_formation_energy_mev_per_atom=174.5 final_energy_ev_per_cell=-20.1 pbc="T T T"
Cl -0.992 -0.380 2.285
Cl 1.620 -1.891 0.388
Cl 1.656 1.621 0.989
As 2.283 -0.650 3.662
Mo 0.000 0.000 0.000

4
Lattice="-1.994 0.228 -2.603 -0.458 -3.253 0.066 -7.095 1.111 5.532" Properties=species:S:1:pos:R:3 comment="MoAsCl2 PBE optimized geometry" m_tot_mub_per_cell=0.00 crystal_system=tetragonal raw_formation_energy_mev_per_atom=-187.4 final_energy_ev_per_cell=-19.9 pbc="T T T"
As -5.219 -0.887 1.845
Cl -6.620 1.037 5.162
Cl -3.492 -1.157 0.499
Mo -4.858 0.761 3.788

4
Lattice="8.251 -0.013 -0.008 7.702 2.959 -0.008 7.702 1.423 2.595" Properties=species:S:1:pos:R:3 comment="Mo2AsCl PBE optimized geometry" m_tot_mub_per_cell=0.00 crystal_system=trigonal raw_formation_energy_mev_per_atom=278.1 final_energy_ev_per_cell=-27.0 pbc="T T T"
Mo 23.583 4.356 2.572
Mo 11.900 2.198 1.298
As 5.914 1.092 0.645
Cl 17.742 3.277 1.935

4
Lattice="4.547 0.000 0.000 2.274 3.938 0.000 2.274 1.313 3.713" Properties=species:S:1:pos:R:3 comment="Mo2AsCl PBE optimized geometry" m_tot_mub_per_cell=0.41 crystal_system=cubic raw_formation_energy_mev_per_atom=792.3 final_energy_ev_per_cell=-25.0 pbc="T T T"
Mo 6.821 3.938 2.785
Mo 0.000 0.000 0.000
As 4.547 2.625 1.856
Cl 2.274 1.313 0.928

4
Lattice="-1.117 -2.030 -1.768 3.039 0.605 -2.614 3.696 -4.809 3.184" Properties=species:S:1:pos:R:3 comment="Mo2AsCl PBE optimized geometry" m_tot_mub_per_cell=0.00 crystal_system=orthorhombic raw_formation_energy_mev_per_atom=171.9 final_energy_ev_per_cell=-27.5 pbc="T T T"
Cl 4.135 -4.841 0.543
As 1.459 -1.899 1.257
Mo 0.134 -0.175 0.116
Mo 1.738 -1.723 -1.522

4
Lattice="-4.452 3.435 -2.020 -3.027 -0.132 -5.150 1.973 -2.778 4.908" Properties=species:S:1:pos:R:3 comment="Mo2AsCl PBE optimized geometry" m_tot_mub_per_cell=0.00 crystal_system=orthorhombic raw_formation_energy_mev_per_atom=345.2 final_energy_ev_per_cell=-26.8 pbc="T T T"
As -4.006 1.769 -3.840
Mo -7.193 3.176 -6.896
Mo -2.926 1.074 -0.173
Cl -2.598 -0.540 -2.107

4
Lattice="5.116 0.073 0.000 -1.725 4.817 0.000 0.000 0.000 2.988" Properties=species:S:1:pos:R:3 comment="MoAsCl2 PBE optimized geometry" m_tot_mub_per_cell=2.12 crystal_system=orthorhombic raw_formation_energy_mev_per_atom=779.0 final_energy_ev_per_cell=-16.1 pbc="T T T"
As -0.862 2.408 1.494
Mo 2.558 0.037 1.494
Cl 0.000 0.000 0.000
Cl 1.696 2.445 0.000

4
Lattice="-0.240 1.898 2.457 0.978 -2.422 1.967 8.105 1.263 -0.183" Properties=species:S:1:pos:R:3 comment="Mo2AsCl PBE optimized geometry" m_tot_mub_per_cell=0.00 crystal_system=monoclinic raw_formation_energy_mev_per_atom=-156.4 final_energy_ev_per_cell=-28.8 pbc="T T T"
Mo 1.147 -1.836 1.531
Mo 1.973 0.749 1.588
As 3.892 -1.023 1.171
Cl 7.349 -0.152 2.810